DFT (PBE) results for a geometry-optimized SrSnBiO6 structure.

Properties
DOS at the Fermi energy   13.959 states/eV per cell
Total magnetic moment   0.115 μB per atom

CIF file:
```
data_SrSnBiO6
_chemical_formula_sum 'Sr2 Sn2 Bi2 O12'
_cell_length_a 5.6199
_cell_length_b 5.6199
_cell_length_c 10.6948
_cell_angle_alpha 90.00
_cell_angle_beta 90.00
_cell_angle_gamma 120.00
_symmetry_space_group_name_H-M 'P -3 1 c'
_symmetry_Int_Tables_number 163
_symmetry_space_group_name_Hall '-P 3 2c'
loop_
_atom_site_label
_atom_site_type_symbol
_atom_site_fract_x
_atom_site_fract_y
_atom_site_fract_z
Sr1 Sr 0.0000 0.0000 0.0000
Sn1 Sn 0.3333 0.6667 0.2500
Bi1 Bi 0.3333 0.6667 0.7500
O1 O 0.0060 0.3697 0.1423
```


DFT (PBE) results for a geometry-optimized SrSnBi2O6 structure.

Properties
DOS at the Fermi energy   0.000 states/eV per cell
Total magnetic moment   0.000 μB per atom

CIF file:
```
data_SrSnBi2O6
_chemical_formula_sum 'Sr3 Sn3 Bi6 O18'
_cell_length_a 6.0190
_cell_length_b 6.0190
_cell_length_c 15.4014
_cell_angle_alpha 90.00
_cell_angle_beta 90.00
_cell_angle_gamma 120.00
_symmetry_space_group_name_H-M 'R 3'
_symmetry_Int_Tables_number 146
_symmetry_space_group_name_Hall 'R 3'
loop_
_atom_site_label
_atom_site_type_symbol
_atom_site_fract_x
_atom_site_fract_y
_atom_site_fract_z
Sr1 Sr 0.0000 0.0000 0.0000
Sn1 Sn 0.0000 0.0000 0.5144
Bi1 Bi 0.0000 0.0000 0.2193
Bi2 Bi 0.0000 0.0000 0.7216
O1 O 0.0016 0.3904 0.7861
O2 O 0.0743 0.6715 0.2783
```


DFT (PBE) results for a geometry-optimized Sr4SnBiO structure.

Properties
DOS at the Fermi energy   22.382 states/eV per cell
Total magnetic moment   0.000 μB per atom

CIF file:
```
data_Sr4SnBiO
_chemical_formula_sum 'Sr16 Sn4 Bi4 O4'
_cell_length_a 7.140
_cell_length_b 17.716
_cell_length_c 7.138
_cell_angle_alpha 90.00
_cell_angle_beta 90.00
_cell_angle_gamma 90.00
_symmetry_space_group_name_H-M 'C m c m'
_symmetry_Int_Tables_number 63
_symmetry_space_group_name_Hall '-C 2c 2'
loop_
_atom_site_label
_atom_site_type_symbol
_atom_site_fract_x
_atom_site_fract_y
_atom_site_fract_z
Sr1 Sr 0.000 0.078 0.250
Sr2 Sr 0.000 0.413 0.250
Sr3 Sr 0.250 0.250 0.000
Sn1 Sn 0.000 0.114 0.750
Bi1 Bi 0.000 0.390 0.750
O1 O 0.000 0.259 0.250
```


DFT (PBE) results for a geometry-optimized Sr2SnBiO6 structure.

Properties
DOS at the Fermi energy   4.729 states/eV per cell
Total magnetic moment   0.000 μB per atom

CIF file:
```
data_Sr2SnBiO6
_chemical_formula_sum 'Sr4 Sn2 Bi2 O12'
_cell_length_a 5.912
_cell_length_b 6.027
_cell_length_c 10.272
_cell_angle_alpha 90.00
_cell_angle_beta 125.01
_cell_angle_gamma 90.00
_symmetry_space_group_name_H-M 'P 1 21/c 1'
_symmetry_Int_Tables_number 14
loop_
_symmetry_equiv_pos_as_xyz
'x,y,z'
'-x,-y,-z'
'-x,y+1/2,-z+1/2'
'x,-y+1/2,z+1/2'
loop_
_atom_site_label
_atom_site_type_symbol
_atom_site_fract_x
_atom_site_fract_y
_atom_site_fract_z
Sr1 Sr 0.239 0.044 0.250
Sn1 Sn 0.000 0.000 0.500
Bi1 Bi 0.500 0.000 0.000
O1 O 0.149 0.218 0.950
O2 O 0.237 0.700 0.953
O3 O 0.333 0.032 0.741
```


DFT (PBE) results for a geometry-optimized TbSnBi2O6 structure.

Properties
DOS at the Fermi energy   3.931 states/eV per cell
Total magnetic moment   0.103 μB per atom

CIF file:
```
data_TbSnBi2O6
_chemical_formula_sum 'Tb3 Sn3 Bi6 O18'
_cell_length_a 6.0912
_cell_length_b 6.0912
_cell_length_c 14.7064
_cell_angle_alpha 90.00
_cell_angle_beta 90.00
_cell_angle_gamma 120.00
_symmetry_space_group_name_H-M 'R 3'
_symmetry_Int_Tables_number 146
_symmetry_space_group_name_Hall 'R 3'
loop_
_atom_site_label
_atom_site_type_symbol
_atom_site_fract_x
_atom_site_fract_y
_atom_site_fract_z
Tb1 Tb 0.0000 0.0000 0.0000
Sn1 Sn 0.0000 0.0000 0.5016
Bi1 Bi 0.0000 0.0000 0.2225
Bi2 Bi 0.0000 0.0000 0.7211
O1 O 0.0240 0.2837 0.1151
O2 O 0.0436 0.7555 0.6085
```


DFT (PBE) results for a geometry-optimized SnBiTeO6 structure.

Properties
DOS at the Fermi energy   9.638 states/eV per cell
Total magnetic moment   0.000 μB per atom

CIF file:
```
data_SnBiTeO6
_chemical_formula_sum 'Sn2 Bi2 Te2 O12'
_cell_length_a 5.4917
_cell_length_b 5.4917
_cell_length_c 10.0955
_cell_angle_alpha 90.00
_cell_angle_beta 90.00
_cell_angle_gamma 120.00
_symmetry_space_group_name_H-M 'P -3 1 c'
_symmetry_Int_Tables_number 163
_symmetry_space_group_name_Hall '-P 3 2c'
loop_
_atom_site_label
_atom_site_type_symbol
_atom_site_fract_x
_atom_site_fract_y
_atom_site_fract_z
Sn1 Sn 0.3333 0.6667 0.2500
Bi1 Bi 0.0000 0.0000 0.0000
Te1 Te 0.3333 0.6667 0.7500
O1 O 0.0039 0.3619 0.6383
```


DFT (PBE) results for a geometry-optimized TiSnBiO6 structure.

Properties
DOS at the Fermi energy   4.567 states/eV per cell
Total magnetic moment   0.000 μB per atom

CIF file:
```
data_TiSnBiO6
_chemical_formula_sum 'Ti2 Sn2 Bi2 O12'
_cell_length_a 4.867
_cell_length_b 4.867
_cell_length_c 9.862
_cell_angle_alpha 90.00
_cell_angle_beta 90.00
_cell_angle_gamma 90.00
_symmetry_space_group_name_H-M 'P 42 n m'
_symmetry_Int_Tables_number 102
loop_
_symmetry_equiv_pos_as_xyz
'x,y,z'
'-y+1/2,x+1/2,z+1/2'
'-x,-y,z'
'y+1/2,-x+1/2,z+1/2'
'-x+1/2,y+1/2,z+1/2'
'y,x,z'
'x+1/2,-y+1/2,z+1/2'
'-y,-x,z'
loop_
_atom_site_label
_atom_site_type_symbol
_atom_site_fract_x
_atom_site_fract_y
_atom_site_fract_z
Ti1 Ti 0.000 0.000 0.000
Sn1 Sn 0.000 0.000 0.342
Bi1 Bi 0.000 0.000 0.671
O1 O 0.176 0.176 0.169
O2 O 0.196 0.196 0.860
O3 O 0.208 0.208 0.497
```


DFT (PBE) results for a geometry-optimized TlSnBiO6 structure.

Properties
DOS at the Fermi energy   4.609 states/eV per cell
Total magnetic moment   0.000 μB per atom

CIF file:
```
data_TlSnBiO6
_chemical_formula_sum 'Tl2 Sn2 Bi2 O12'
_cell_length_a 5.011
_cell_length_b 5.011
_cell_length_c 10.136
_cell_angle_alpha 90.00
_cell_angle_beta 90.00
_cell_angle_gamma 90.00
_symmetry_space_group_name_H-M 'P 42 n m'
_symmetry_Int_Tables_number 102
loop_
_symmetry_equiv_pos_as_xyz
'x,y,z'
'-y+1/2,x+1/2,z+1/2'
'-x,-y,z'
'y+1/2,-x+1/2,z+1/2'
'-x+1/2,y+1/2,z+1/2'
'y,x,z'
'x+1/2,-y+1/2,z+1/2'
'-y,-x,z'
loop_
_atom_site_label
_atom_site_type_symbol
_atom_site_fract_x
_atom_site_fract_y
_atom_site_fract_z
Tl1 Tl 0.000 0.000 0.000
Sn1 Sn 0.000 0.000 0.333
Bi1 Bi 0.000 0.000 0.667
O1 O 0.183 0.183 0.497
O2 O 0.195 0.195 0.177
O3 O 0.202 0.202 0.826
```


DFT (PBE) results for a geometry-optimized TlSnBi2O6 structure.

Properties
DOS at the Fermi energy   12.347 states/eV per cell
Total magnetic moment   0.000 μB per atom

CIF file:
```
data_TlSnBi2O6
_chemical_formula_sum 'Tl3 Sn3 Bi6 O18'
_cell_length_a 6.0088
_cell_length_b 6.0088
_cell_length_c 15.5294
_cell_angle_alpha 90.00
_cell_angle_beta 90.00
_cell_angle_gamma 120.00
_symmetry_space_group_name_H-M 'R 3'
_symmetry_Int_Tables_number 146
_symmetry_space_group_name_Hall 'R 3'
loop_
_atom_site_label
_atom_site_type_symbol
_atom_site_fract_x
_atom_site_fract_y
_atom_site_fract_z
Tl1 Tl 0.0000 0.0000 0.0000
Sn1 Sn 0.0000 0.0000 0.5220
Bi1 Bi 0.0000 0.0000 0.2221
Bi2 Bi 0.0000 0.0000 0.7298
O1 O 0.0006 0.3865 0.7955
O2 O 0.0735 0.6692 0.2861
```


DFT (PBE) results for a geometry-optimized TmSnBi2O6 structure.

Properties
DOS at the Fermi energy   4.976 states/eV per cell
Total magnetic moment   0.101 μB per atom

CIF file:
```
data_TmSnBi2O6
_chemical_formula_sum 'Tm3 Sn3 Bi6 O18'
_cell_length_a 6.0406
_cell_length_b 6.0406
_cell_length_c 14.6325
_cell_angle_alpha 90.00
_cell_angle_beta 90.00
_cell_angle_gamma 120.00
_symmetry_space_group_name_H-M 'R 3'
_symmetry_Int_Tables_number 146
_symmetry_space_group_name_Hall 'R 3'
loop_
_atom_site_label
_atom_site_type_symbol
_atom_site_fract_x
_atom_site_fract_y
_atom_site_fract_z
Tm1 Tm 0.0000 0.0000 0.0000
Sn1 Sn 0.0000 0.0000 0.4986
Bi1 Bi 0.0000 0.0000 0.2214
Bi2 Bi 0.0000 0.0000 0.7192
O1 O 0.0276 0.2834 0.1114
O2 O 0.0379 0.6145 0.2728
```


DFT (PBE) results for a geometry-optimized USnBiO6 structure.

Properties
DOS at the Fermi energy   0.531 states/eV per cell
Total magnetic moment   0.111 μB per atom

CIF file:
```
data_USnBiO6
_chemical_formula_sum 'U2 Sn2 Bi2 O12'
_cell_length_a 5.6199
_cell_length_b 5.6199
_cell_length_c 9.9807
_cell_angle_alpha 90.00
_cell_angle_beta 90.00
_cell_angle_gamma 120.00
_symmetry_space_group_name_H-M 'P -3 1 c'
_symmetry_Int_Tables_number 163
_symmetry_space_group_name_Hall '-P 3 2c'
loop_
_atom_site_label
_atom_site_type_symbol
_atom_site_fract_x
_atom_site_fract_y
_atom_site_fract_z
U1 U 0.3333 0.6667 0.2500
Sn1 Sn 0.3333 0.6667 0.7500
Bi1 Bi 0.0000 0.0000 0.0000
O1 O 0.0083 0.3578 0.6367
```


no.,raw total energy (eV/atom),E_form (uncorrected) (eV/atom)
1,-5.821,-1.452
2,-5.998,-1.679
3,-4.093,-1.298
4,-6.104,-2.004
5,-6.360,-1.745
6,-5.736,-1.206
7,-6.885,-1.826
8,-5.456,-1.012
9,-5.533,-1.145
10,-6.370,-1.772
11,-7.512,-2.076